# 1
{"formula": "Sc2ZnCd", "functional": "PBE", "state": "optimized geometry", "delta_e_f_ev_per_atom": -0.13, "dos_ef_per_ev_atom": 1.12, "m_tot_mub_per_cell": 0.0, "lattice_angstrom": [[-2.112, 2.112, 4.648], [2.112, -2.112, 4.648], [2.112, 2.112, -4.648]], "species": ["Sc", "Sc", "Zn", "Cd"], "fractional_positions": [[0.000, 0.000, 0.000], [0.750, 0.250, 0.500], [0.250, 0.750, 0.500], [0.500, 0.500, 0.000]]}

***

# 2
{"formula": "K2LaMo", "functional": "PBE", "state": "optimized geometry", "delta_e_f_ev_per_atom": 1.26, "dos_ef_per_ev_atom": 1.42, "m_tot_mub_per_cell": 1.4, "lattice_angstrom": [[1.613, 0.931, 13.585], [-1.613, 0.931, 13.585], [0.000, -1.862, 13.585]], "species": ["K", "K", "La", "Mo"], "fractional_positions": [[0.093, 0.093, 0.093], [0.907, 0.907, 0.907], [0.000, 0.000, 0.000], [0.500, 0.500, 0.500]]}

***

# 3
{"formula": "NdDy2YSe4", "functional": "PBE", "state": "optimized geometry", "e_form_raw_mev_per_atom": -1771, "dos_ef_per_ev_atom": 0.59, "m_tot_mub_per_cell": 0.0, "lattice_angstrom": [[7.167, 0.000, 0.000], [0.000, 4.060, 0.000], [-2.304, 0.000, 6.790]], "species": ["Nd", "Dy", "Dy", "Y", "Se", "Se", "Se", "Se"], "fractional_positions": [[0.000, 0.000, 0.000], [0.500, 0.000, 0.500], [0.500, 0.500, 0.000], [0.000, 0.500, 0.500], [0.255, 0.000, 0.746], [0.260, 0.500, 0.259], [0.740, 0.500, 0.741], [0.745, 0.000, 0.254]]}

***

# 4
{"formula": "Ba6Ag5Au", "functional": "PBE", "state": "optimized geometry", "delta_e_f_ev_per_atom": -0.31, "dos_ef_per_ev_atom": 0.93, "m_tot_mub_per_cell": 0.0, "lattice_angstrom": [[5.796, 0.000, 0.000], [0.000, 8.272, 0.000], [-2.879, 0.000, 8.682]], "species": ["Ba", "Ba", "Ba", "Ba", "Ba", "Ba", "Ag", "Ag", "Ag", "Ag", "Ag", "Au"], "fractional_positions": [[0.000, 0.244, 0.000], [0.000, 0.756, 0.000], [0.336, 0.248, 0.672], [0.336, 0.752, 0.672], [0.664, 0.248, 0.328], [0.664, 0.752, 0.328], [0.168, 0.500, 0.334], [0.172, 0.000, 0.342], [0.500, 0.500, 0.000], [0.828, 0.000, 0.658], [0.832, 0.500, 0.666], [0.500, 0.000, 0.000]]}

***

# 5
{"formula": "NdEuGaIr", "functional": "PBE", "state": "optimized geometry", "delta_e_f_ev_per_atom": -0.44, "dos_ef_per_ev_atom": 1.49, "m_tot_mub_per_cell": 6.8, "lattice_angstrom": [[0.000, 3.608, 3.608], [3.608, 0.000, 3.608], [3.608, 3.608, 0.000]], "species": ["Nd", "Eu", "Ga", "Ir"], "fractional_positions": [[0.000, 0.000, 0.000], [0.500, 0.500, 0.500], [0.750, 0.750, 0.750], [0.250, 0.250, 0.250]]}

***

# 6
{"formula": "LiNd12Co6", "functional": "PBE", "state": "optimized geometry", "delta_e_f_ev_per_atom": -0.07, "dos_ef_per_ev_atom": 0.81, "m_tot_mub_per_cell": 0.0, "lattice_angstrom": [[-5.025, 5.025, 5.025], [5.025, -5.025, 5.025], [5.025, 5.025, -5.025]], "species": ["Li", "Nd", "Nd", "Nd", "Nd", "Nd", "Nd", "Nd", "Nd", "Nd", "Nd", "Nd", "Nd", "Co", "Co", "Co", "Co", "Co", "Co"], "fractional_positions": [[0.000, 0.000, 0.000], [0.113, 0.805, 0.309], [0.195, 0.309, 0.504], [0.195, 0.691, 0.887], [0.309, 0.113, 0.805], [0.309, 0.504, 0.195], [0.496, 0.805, 0.691], [0.504, 0.195, 0.309], [0.691, 0.496, 0.805], [0.691, 0.887, 0.195], [0.805, 0.309, 0.113], [0.805, 0.691, 0.496], [0.887, 0.195, 0.691], [0.111, 0.611, 0.500], [0.389, 0.500, 0.889], [0.500, 0.111, 0.611], [0.500, 0.889, 0.389], [0.611, 0.500, 0.111], [0.889, 0.389, 0.500]]}

***

# 7
{"formula": "YTeMo2", "functional": "PBE", "state": "optimized geometry", "e_form_raw_mev_per_atom": 166, "dos_ef_per_ev_atom": 0.85, "m_tot_mub_per_cell": 0.0, "lattice_angstrom": [[4.964, -1.764, 0.000], [4.964, 1.764, 0.000], [-1.270, 0.000, 4.861]], "species": ["Y", "Te", "Mo", "Mo"], "fractional_positions": [[0.000, 0.000, 0.000], [0.500, 0.500, 0.500], [0.237, 0.237, 0.675], [0.763, 0.763, 0.325]]}

***

# 8
{"formula": "ZrCrSi2", "functional": "PBE", "state": "optimized geometry", "e_form_raw_mev_per_atom": -229, "dos_ef_per_ev_atom": 1.31, "m_tot_mub_per_cell": 0.0, "lattice_angstrom": [[3.184, 0.000, 0.000], [0.000, 3.184, 0.000], [0.000, 0.000, 5.919]], "species": ["Zr", "Cr", "Si", "Si"], "fractional_positions": [[0.000, 0.000, 0.000], [0.500, 0.500, 0.293], [0.000, 0.000, 0.479], [0.500, 0.500, 0.703]]}

***

no.,V (Å³/cell)
1,83.0
2,122.4
3,197.6
4,416.3
5,94.0
6,507.5
7,85.1
8,60.0